[1]
# NiHgPb | the Alexandria database | PBE-GGA | relaxed
# Symmetry: P3m1
# Calculated formation energy (eV/atom): 0.243
# Calculated total energy (eV/atom): -3.02
# Distance to the lowest polymorph of the same formula (meV per atom): 111
# Fermi-level density of states (states/eV per cell): 1.5
data_NiHgPb
_chemical_formula_sum 'Ni1 Hg1 Pb1'
_symmetry_space_group_name_H-M 'P 1'
_symmetry_Int_Tables_number 1
_cell_length_a 3.579
_cell_length_b 3.579
_cell_length_c 6.070
_cell_angle_alpha 90.00
_cell_angle_beta 90.00
_cell_angle_gamma 120.00
loop_
_symmetry_equiv_pos_as_xyz
'x,y,z'
loop_
_atom_site_label
_atom_site_type_symbol
_atom_site_fract_x
_atom_site_fract_y
_atom_site_fract_z
_atom_site_occupancy
Hg1 Hg 0.000 0.000 0.052 1
Ni1 Ni 0.333 0.667 0.333 1
Pb1 Pb 0.667 0.333 0.615 1

=====

[2]
# CuSbTe | the Alexandria database | PBE-GGA | relaxed
# Symmetry: F-43m
# Calculated total energy (eV/atom): -3.61
# Formation energy from raw total energies (eV per atom): 0.180
# Fermi-level density of states (states/eV per cell): 0.4
data_CuSbTe
_chemical_formula_sum 'Cu1 Sb1 Te1'
_symmetry_space_group_name_H-M 'P 1'
_symmetry_Int_Tables_number 1
_cell_length_a 4.722
_cell_length_b 4.722
_cell_length_c 4.722
_cell_angle_alpha 60.00
_cell_angle_beta 60.00
_cell_angle_gamma 60.00
loop_
_symmetry_equiv_pos_as_xyz
'x,y,z'
loop_
_atom_site_label
_atom_site_type_symbol
_atom_site_fract_x
_atom_site_fract_y
_atom_site_fract_z
_atom_site_occupancy
Cu1 Cu 0.750 0.750 0.750 1
Sb1 Sb 0.000 0.000 0.000 1
Te1 Te 0.500 0.500 0.500 1

=====

[3]
# BaP2Br | the Alexandria database | PBE-GGA | relaxed
# Symmetry: Cmmm
# Calculated total energy (eV/atom): -3.51
# Distance to the lowest polymorph of the same formula (meV per atom): 926
# Formation energy from raw total energies (eV per atom): 0.095
# Fermi-level density of states (states/eV per cell): 2.6
data_BaP2Br
_chemical_formula_sum 'Ba1 P2 Br1'
_symmetry_space_group_name_H-M 'P 1'
_symmetry_Int_Tables_number 1
_cell_length_a 5.682
_cell_length_b 5.682
_cell_length_c 3.501
_cell_angle_alpha 90.00
_cell_angle_beta 90.00
_cell_angle_gamma 114.09
loop_
_symmetry_equiv_pos_as_xyz
'x,y,z'
loop_
_atom_site_label
_atom_site_type_symbol
_atom_site_fract_x
_atom_site_fract_y
_atom_site_fract_z
_atom_site_occupancy
Ba1 Ba 0.500 0.000 0.500 1
Br1 Br 0.000 0.500 0.500 1
P1 P 0.000 0.000 0.000 1
P2 P 0.500 0.500 0.000 1

=====

[4]
# ScTc2P | the Alexandria database | PBE-GGA | relaxed
# Symmetry: I-42d
# Calculated formation energy (eV/atom): -0.099
# Calculated total energy (eV/atom): -8.22
# Fermi-level density of states (states/eV per cell): 9.3
data_ScTc2P
_chemical_formula_sum 'Sc2 Tc4 P2'
_symmetry_space_group_name_H-M 'P 1'
_symmetry_Int_Tables_number 1
_cell_length_a 3.893
_cell_length_b 3.893
_cell_length_c 9.483
_cell_angle_alpha 78.15
_cell_angle_beta 78.15
_cell_angle_gamma 90.00
loop_
_symmetry_equiv_pos_as_xyz
'x,y,z'
loop_
_atom_site_label
_atom_site_type_symbol
_atom_site_fract_x
_atom_site_fract_y
_atom_site_fract_z
_atom_site_occupancy
Sc1 Sc 0.000 0.000 0.000 1
Sc2 Sc 0.750 0.250 0.500 1
P1 P 0.500 0.500 0.000 1
P2 P 0.250 0.750 0.500 1
Tc1 Tc 0.547 0.125 0.250 1
Tc2 Tc 0.203 0.625 0.250 1
Tc3 Tc 0.375 0.453 0.750 1
Tc4 Tc 0.875 0.797 0.750 1

=====

[5]
# CePuZnRh | the Alexandria database | PBE-GGA | relaxed
# Symmetry: F-43m
# Calculated formation energy (eV/atom): -0.314
# Calculated total energy (eV/atom): -7.54
# Distance to the lowest polymorph of the same formula (meV per atom): 151
# Fermi-level density of states (states/eV per cell): 9.9
data_CePuZnRh
_chemical_formula_sum 'Ce1 Pu1 Zn1 Rh1'
_symmetry_space_group_name_H-M 'P 1'
_symmetry_Int_Tables_number 1
_cell_length_a 4.971
_cell_length_b 4.971
_cell_length_c 4.971
_cell_angle_alpha 60.00
_cell_angle_beta 60.00
_cell_angle_gamma 60.00
loop_
_symmetry_equiv_pos_as_xyz
'x,y,z'
loop_
_atom_site_label
_atom_site_type_symbol
_atom_site_fract_x
_atom_site_fract_y
_atom_site_fract_z
_atom_site_occupancy
Zn1 Zn 0.000 0.000 0.000 1
Rh1 Rh 0.500 0.500 0.500 1
Ce1 Ce 0.250 0.250 0.250 1
Pu1 Pu 0.750 0.750 0.750 1

=====

[6]
# Nb2AgRu2 | the Alexandria database | PBE-GGA | relaxed
# Symmetry: P4/mbm
# Calculated formation energy (eV/atom): 0.105
# Calculated total energy (eV/atom): -8.20
# Distance to the lowest polymorph of the same formula (meV per atom): 126
# Fermi-level density of states (states/eV per cell): 7.6
data_Nb2AgRu2
_chemical_formula_sum 'Nb4 Ag2 Ru4'
_symmetry_space_group_name_H-M 'P 1'
_symmetry_Int_Tables_number 1
_cell_length_a 7.640
_cell_length_b 7.640
_cell_length_c 2.966
_cell_angle_alpha 90.00
_cell_angle_beta 90.00
_cell_angle_gamma 90.00
loop_
_symmetry_equiv_pos_as_xyz
'x,y,z'
loop_
_atom_site_label
_atom_site_type_symbol
_atom_site_fract_x
_atom_site_fract_y
_atom_site_fract_z
_atom_site_occupancy
Ru1 Ru 0.149 0.649 0.500 1
Ru2 Ru 0.649 0.851 0.500 1
Ru3 Ru 0.851 0.351 0.500 1
Ru4 Ru 0.351 0.149 0.500 1
Nb1 Nb 0.354 0.854 0.000 1
Nb2 Nb 0.854 0.646 0.000 1
Nb3 Nb 0.646 0.146 0.000 1
Nb4 Nb 0.146 0.354 0.000 1
Ag1 Ag 0.000 0.000 0.000 1
Ag2 Ag 0.500 0.500 0.000 1

=====

[7]
# ZrTa2In | the Alexandria database | PBE-GGA | relaxed
# Symmetry: Pmmm
# Calculated formation energy (eV/atom): 0.035
# Calculated total energy (eV/atom): -8.71
# Fermi-level density of states (states/eV per cell): 4.0
data_ZrTa2In
_chemical_formula_sum 'Zr1 Ta2 In1'
_symmetry_space_group_name_H-M 'P 1'
_symmetry_Int_Tables_number 1
_cell_length_a 3.796
_cell_length_b 4.477
_cell_length_c 4.684
_cell_angle_alpha 90.00
_cell_angle_beta 90.00
_cell_angle_gamma 90.00
loop_
_symmetry_equiv_pos_as_xyz
'x,y,z'
loop_
_atom_site_label
_atom_site_type_symbol
_atom_site_fract_x
_atom_site_fract_y
_atom_site_fract_z
_atom_site_occupancy
In1 In 0.000 0.500 0.500 1
Ta1 Ta 0.000 0.000 0.000 1
Ta2 Ta 0.500 0.500 0.000 1
Zr1 Zr 0.500 0.000 0.500 1

=====

[8]
# ZrMoSe3 | the Alexandria database | PBE-GGA | relaxed
# Symmetry: Pm-3m
# Calculated total energy (eV/atom): -5.73
# Formation energy from raw total energies (eV per atom): 0.236
# Fermi-level density of states (states/eV per cell): 2.9
data_ZrMoSe3
_chemical_formula_sum 'Zr1 Mo1 Se3'
_symmetry_space_group_name_H-M 'P 1'
_symmetry_Int_Tables_number 1
_cell_length_a 5.194
_cell_length_b 5.194
_cell_length_c 5.194
_cell_angle_alpha 90.00
_cell_angle_beta 90.00
_cell_angle_gamma 90.00
loop_
_symmetry_equiv_pos_as_xyz
'x,y,z'
loop_
_atom_site_label
_atom_site_type_symbol
_atom_site_fract_x
_atom_site_fract_y
_atom_site_fract_z
_atom_site_occupancy
Mo1 Mo 0.500 0.500 0.500 1
Se1 Se 0.000 0.500 0.000 1
Se2 Se 0.000 0.000 0.500 1
Se3 Se 0.500 0.000 0.000 1
Zr1 Zr 0.000 0.000 0.000 1

=====

[9]
# Nb4AsH | the Alexandria database | PBE-GGA | relaxed
# Symmetry: C2/c
# Calculated total energy (eV/atom): -8.17
# Fermi-level density of states (states/eV per cell): 7.3
data_Nb4AsH
_chemical_formula_sum 'Nb8 As2 H2'
_symmetry_space_group_name_H-M 'P 1'
_symmetry_Int_Tables_number 1
_cell_length_a 6.045
_cell_length_b 5.279
_cell_length_c 7.083
_cell_angle_alpha 106.32
_cell_angle_beta 110.28
_cell_angle_gamma 102.41
loop_
_symmetry_equiv_pos_as_xyz
'x,y,z'
loop_
_atom_site_label
_atom_site_type_symbol
_atom_site_fract_x
_atom_site_fract_y
_atom_site_fract_z
_atom_site_occupancy
Nb1 Nb 0.904 0.275 0.057 1
Nb2 Nb 0.653 0.782 0.057 1
Nb3 Nb 0.263 0.596 0.614 1
Nb4 Nb 0.737 0.404 0.386 1
Nb5 Nb 0.149 0.983 0.386 1
Nb6 Nb 0.347 0.218 0.943 1
Nb7 Nb 0.851 0.017 0.614 1
Nb8 Nb 0.096 0.725 0.943 1
As1 As 0.393 0.643 0.286 1
As2 As 0.607 0.357 0.714 1
H1 H 0.103 0.853 0.707 1
H2 H 0.897 0.147 0.293 1

=====

[10]
# LaMg2Cd | the Alexandria database | PBE-GGA | relaxed
# Symmetry: Pm
# Calculated formation energy (eV/atom): -0.146
# Calculated total energy (eV/atom): -2.40
# Fermi-level density of states (states/eV per cell): 2.7
data_LaMg2Cd
_chemical_formula_sum 'La1 Mg2 Cd1'
_symmetry_space_group_name_H-M 'P 1'
_symmetry_Int_Tables_number 1
_cell_length_a 4.943
_cell_length_b 3.298
_cell_length_c 6.740
_cell_angle_alpha 75.94
_cell_angle_beta 90.00
_cell_angle_gamma 90.00
loop_
_symmetry_equiv_pos_as_xyz
'x,y,z'
loop_
_atom_site_label
_atom_site_type_symbol
_atom_site_fract_x
_atom_site_fract_y
_atom_site_fract_z
_atom_site_occupancy
Mg1 Mg 0.000 0.037 0.049 1
Mg2 Mg 0.500 0.444 0.240 1
Cd1 Cd 0.000 0.318 0.487 1
La1 La 0.500 0.700 0.724 1

=====

[11]
# Ba2Mg2P3 | the Alexandria database | PBE-GGA | relaxed
# Symmetry: C2/m
# Calculated formation energy (eV/atom): -0.936
# Calculated total energy (eV/atom): -4.26
# Fermi-level density of states (states/eV per cell): 0.2
data_Ba2Mg2P3
_chemical_formula_sum 'Ba4 Mg4 P6'
_symmetry_space_group_name_H-M 'P 1'
_symmetry_Int_Tables_number 1
_cell_length_a 4.440
_cell_length_b 8.769
_cell_length_c 10.354
_cell_angle_alpha 81.23
_cell_angle_beta 77.62
_cell_angle_gamma 75.33
loop_
_symmetry_equiv_pos_as_xyz
'x,y,z'
loop_
_atom_site_label
_atom_site_type_symbol
_atom_site_fract_x
_atom_site_fract_y
_atom_site_fract_z
_atom_site_occupancy
Ba1 Ba 0.273 0.125 0.329 1
Ba2 Ba 0.727 0.875 0.671 1
Ba3 Ba 0.387 0.267 0.960 1
Ba4 Ba 0.613 0.733 0.040 1
Mg1 Mg 0.035 0.248 0.681 1
Mg2 Mg 0.965 0.752 0.319 1
Mg3 Mg 0.414 0.523 0.650 1
Mg4 Mg 0.586 0.477 0.350 1
P1 P 0.062 0.988 0.889 1
P2 P 0.938 0.012 0.111 1
P3 P 0.148 0.495 0.210 1
P4 P 0.852 0.505 0.790 1
P5 P 0.393 0.758 0.457 1
P6 P 0.607 0.242 0.543 1

=====

[12]
# Np2Ti | the Alexandria database | PBE-GGA | relaxed
# Symmetry: I4/mmm
# Calculated formation energy (eV/atom): 0.214
# Calculated total energy (eV/atom): -11.04
# Fermi-level density of states (states/eV per cell): 8.1
data_Np2Ti
_chemical_formula_sum 'Np2 Ti1'
_symmetry_space_group_name_H-M 'P 1'
_symmetry_Int_Tables_number 1
_cell_length_a 3.321
_cell_length_b 3.321
_cell_length_c 5.531
_cell_angle_alpha 107.47
_cell_angle_beta 107.47
_cell_angle_gamma 90.00
loop_
_symmetry_equiv_pos_as_xyz
'x,y,z'
loop_
_atom_site_label
_atom_site_type_symbol
_atom_site_fract_x
_atom_site_fract_y
_atom_site_fract_z
_atom_site_occupancy
Np1 Np 0.698 0.698 0.396 1
Np2 Np 0.302 0.302 0.604 1
Ti1 Ti 0.000 0.000 0.000 1

=====

[13]
# CsMg2AgGe | the Alexandria database | PBE-GGA | relaxed
# Symmetry: P4/mmm
# Calculated formation energy (eV/atom): 0.284
# Calculated total energy (eV/atom): -2.02
# Fermi-level density of states (states/eV per cell): 0.9
data_CsMg2AgGe
_chemical_formula_sum 'Cs1 Mg2 Ag1 Ge1'
_symmetry_space_group_name_H-M 'P 1'
_symmetry_Int_Tables_number 1
_cell_length_a 5.114
_cell_length_b 7.184
_cell_length_c 5.114
_cell_angle_alpha 90.00
_cell_angle_beta 90.00
_cell_angle_gamma 90.00
loop_
_symmetry_equiv_pos_as_xyz
'x,y,z'
loop_
_atom_site_label
_atom_site_type_symbol
_atom_site_fract_x
_atom_site_fract_y
_atom_site_fract_z
_atom_site_occupancy
Cs1 Cs 0.000 0.500 0.000 1
Ge1 Ge 0.000 0.000 0.000 1
Mg1 Mg 0.000 0.000 0.500 1
Mg2 Mg 0.500 0.000 0.000 1
Ag1 Ag 0.500 0.500 0.500 1

=====

no.,magnetic moment (μB per formula unit)
1,0.00
2,0.00
3,0.00
4,0.00
5,5.91
6,0.00
7,0.00
8,4.00
9,0.00
10,0.18
11,0.00
12,0.00
13,0.00